Entry 1:
Entry from Alexandria via LeMat-Bulk: an optimized crystal structure of Pu2TaZnN5 (GGA-PBE).

Its space group is Cmc2_1. For the theoretical density, the calculation gives 12.3 Mg/m³.

Lattice parameters (Å, degrees): 6.848 6.848 10.071 90.00 90.00 152.62
Fractional coordinates of all 18 atoms:
Pu 0.108 0.892 0.500
Pu 0.136 0.864 0.110
Pu 0.864 0.136 0.610
Pu 0.892 0.108 0.000
Ta 0.205 0.795 0.820
Ta 0.795 0.205 0.320
Zn 0.485 0.515 0.287
Zn 0.515 0.485 0.787
N 0.055 0.945 0.885
N 0.288 0.712 0.469
N 0.306 0.694 0.182
N 0.357 0.643 0.823
N 0.493 0.507 0.591
N 0.507 0.493 0.091
N 0.643 0.357 0.323
N 0.694 0.306 0.682
N 0.712 0.288 0.969
N 0.945 0.055 0.385

***

Entry 2:
Entry from Alexandria via LeMat-Bulk: an optimized crystal structure of PuZr4TaN8 (GGA-PBE).

Its space group is R3m. For the theoretical density, the calculation gives 7.7 Mg/m³.

Lattice parameters (Å, degrees): 6.534 6.534 6.534 59.60 59.60 59.60
Fractional coordinates of all 14 atoms:
Pu 0.000 0.000 0.000
Zr 0.002 0.002 0.497
Zr 0.002 0.497 0.002
Zr 0.377 0.377 0.377
Zr 0.497 0.002 0.002
Ta 0.626 0.626 0.626
N 0.244 0.244 0.244
N 0.245 0.245 0.776
N 0.245 0.776 0.245
N 0.252 0.746 0.746
N 0.746 0.252 0.746
N 0.746 0.746 0.252
N 0.753 0.753 0.753
N 0.776 0.245 0.245

***

no.,VASP energy (eV/atom),volume (Å³/cell),magnetization (μB/f.u.)
1,-10.040,217,0.121
2,-10.364,195,4.586